# 1
Cs2SiO3: single point on PBEsol structure, meta-GGA SCAN.

Structure (POSCAR):
```
Cs2SiO3
1.0
-5.6008 -3.1316 -2.2555
5.2908 -0.2345 -12.8126
7.9469 -13.6842 3.5320
Si Cs O
12 24 36
Direct
0.1672 0.3487 0.8934
0.9701 0.8637 0.1348
0.8277 0.7438 0.2805
0.6723 0.2438 0.2195
0.3277 0.7562 0.7805
0.4701 0.6363 0.6348
0.8328 0.6513 0.1066
0.5299 0.3637 0.3652
0.3328 0.8487 0.6066
0.1723 0.2562 0.7195
0.6672 0.1513 0.3934
0.0299 0.1363 0.8652
0.0639 0.5140 0.7173
0.9361 0.4860 0.2827
0.0690 0.1048 0.0850
0.1747 0.1889 0.3062
0.0322 0.3385 0.4892
0.5322 0.1615 0.9892
0.3253 0.6889 0.1938
0.2497 0.0858 0.5314
0.5639 0.9860 0.2173
0.4678 0.8385 0.0108
0.2494 0.3748 0.1353
0.2506 0.8748 0.3647
0.9310 0.8952 0.9150
0.9678 0.6615 0.5108
0.5690 0.3952 0.5850
0.8253 0.8111 0.6938
0.7494 0.1252 0.6353
0.7503 0.9142 0.4686
0.2503 0.5858 0.9686
0.6747 0.3111 0.8062
0.4361 0.0140 0.7827
0.4310 0.6048 0.4150
0.7497 0.4142 0.0314
0.7506 0.6252 0.8647
0.6828 0.4389 0.4125
0.4849 0.1982 0.1642
0.7435 0.1687 0.2982
0.2435 0.3313 0.7982
0.9849 0.3018 0.6642
0.1399 0.8654 0.5426
0.3601 0.3654 0.9574
0.8004 0.1046 0.8592
0.4054 0.6574 0.7314
0.5946 0.3426 0.2686
0.1996 0.8954 0.1408
0.9054 0.8426 0.2314
0.8601 0.1346 0.4574
0.9458 0.7560 0.0859
0.5151 0.8018 0.8358
0.7565 0.6687 0.2018
0.0542 0.2440 0.9141
0.1365 0.7287 0.8286
0.6996 0.6046 0.6408
0.0151 0.6982 0.3358
0.6365 0.7713 0.3286
0.2565 0.8313 0.7018
0.4458 0.7440 0.5859
0.3635 0.2287 0.6714
0.3172 0.5611 0.5875
0.8635 0.2713 0.1714
0.8172 0.9389 0.0875
0.0946 0.1574 0.7686
0.4967 0.9338 0.6102
0.5542 0.2560 0.4141
0.9967 0.5662 0.1102
0.1828 0.0611 0.9125
0.5033 0.0662 0.3898
0.3004 0.3954 0.3592
0.6399 0.6346 0.0426
0.0033 0.4338 0.8898
```

The symmetry is P2_1/c (14). As for the total magnetic moment: 0.00 Bohr magnetons per cell. Its crystal system is monoclinic. The formation energy from raw total energies comes out at -2513 meV per atom. The value obtained for the theoretical density is 4.47 Mg/m³. The calculation puts the density of states at the Fermi level at 0.00 states/eV per atom.

# 2
Cs2Si3SnO9: single point on PBEsol structure, meta-GGA SCAN.

Structure (POSCAR):
```
Cs2Si3SnO9
1.0
8.0040 0.0000 0.0000
0.0000 10.3877 0.0000
0.0000 0.0000 11.8183
O Si Cs Sn
36 12 8 4
Direct
0.5637 0.7219 0.2512
0.8074 0.6142 0.4052
0.1937 0.9275 0.9345
0.0632 0.4476 0.4204
0.0813 0.0500 0.7183
0.0288 0.6204 0.5750
0.6926 0.3858 0.9052
0.7446 0.9402 0.2636
0.5813 0.4500 0.2817
0.2554 0.4402 0.2364
0.7554 0.0598 0.7636
0.9217 0.7325 0.1965
0.2446 0.5598 0.7364
0.9363 0.2781 0.7512
0.4363 0.2219 0.2488
0.6937 0.5725 0.0655
0.4187 0.9500 0.2183
0.4266 0.0558 0.7855
0.9368 0.9476 0.0796
0.5632 0.0524 0.5796
0.0783 0.2325 0.3035
0.1926 0.1142 0.0948
0.9266 0.4442 0.2145
0.9712 0.1204 0.9250
0.0637 0.7781 0.7488
0.3063 0.0725 0.4345
0.4217 0.7675 0.8035
0.9187 0.5500 0.7817
0.8063 0.4275 0.5655
0.4712 0.3796 0.0750
0.0734 0.9442 0.2855
0.5288 0.8796 0.4250
0.3074 0.8858 0.5948
0.4368 0.5524 0.9204
0.5783 0.2675 0.6965
0.5734 0.5558 0.7145
0.0775 0.3879 0.2909
0.4166 0.9729 0.5089
0.0834 0.0271 0.0089
0.5834 0.4729 0.9911
0.9166 0.5271 0.4911
0.5775 0.1121 0.7091
0.4225 0.6121 0.7909
0.9225 0.8879 0.2091
0.4391 0.3720 0.2131
0.5609 0.8720 0.2869
0.0609 0.6280 0.7131
0.9391 0.1280 0.7869
0.7300 0.2144 0.3977
0.2300 0.2856 0.6023
0.5700 0.1056 0.0210
0.7700 0.7856 0.8977
0.9300 0.8944 0.5210
0.0700 0.3944 0.9790
0.4300 0.6056 0.4790
0.2700 0.7144 0.1023
0.2538 0.9111 0.7652
0.7462 0.4111 0.7348
0.7538 0.5889 0.2348
0.2462 0.0889 0.2652
```

The symmetry is P2_12_12_1 (19). As for the total magnetic moment: 0.00 Bohr magnetons per cell. Its crystal system is orthorhombic. The formation energy from raw total energies comes out at -2693 meV per atom. The value obtained for the theoretical density is 4.14 Mg/m³. The calculation puts the density of states at the Fermi level at 0.00 states/eV per atom.

# 3
Cs2ThSi6O15: single point on PBEsol structure, meta-GGA SCAN.

Structure (POSCAR):
```
Cs2ThSi6O15
1.0
7.3554 0.0000 0.0000
-3.6777 8.3490 0.0000
0.0000 0.0000 13.5394
O Si Cs Th
30 12 4 2
Direct
0.9564 0.9128 0.4942
0.6572 0.7525 0.7015
0.1318 0.8974 0.8710
0.1986 0.9258 0.2064
0.8860 0.7721 0.0193
0.8014 0.0742 0.7064
0.0001 0.4451 0.6646
0.9999 0.5549 0.1646
0.1140 0.2279 0.5193
0.3599 0.3624 0.0169
0.7656 0.8974 0.8710
0.8450 0.6900 0.3507
0.4468 0.8937 0.7900
0.0436 0.0872 0.9942
0.2344 0.1026 0.3710
0.4450 0.4451 0.6646
0.9047 0.2475 0.2015
0.5550 0.5549 0.1646
0.1550 0.3100 0.8507
0.8682 0.1026 0.3710
0.6642 0.3285 0.0878
0.7271 0.9258 0.2064
0.5532 0.1063 0.2900
0.0025 0.3624 0.0169
0.3358 0.6715 0.5878
0.9975 0.6376 0.5169
0.2729 0.0742 0.7064
0.3428 0.2475 0.2015
0.6401 0.6376 0.5169
0.0953 0.7525 0.7015
0.8610 0.7221 0.4671
0.9566 0.9132 0.9390
0.1040 0.6232 0.6203
0.6716 0.9115 0.7633
0.3284 0.0885 0.2633
0.1390 0.2779 0.9671
0.7601 0.0885 0.2633
0.0434 0.0868 0.4390
0.2399 0.9115 0.7633
0.4808 0.3768 0.1203
0.8960 0.3768 0.1203
0.5192 0.6232 0.6203
0.7378 0.4755 0.8469
0.2622 0.5245 0.3469
0.6110 0.2220 0.5412
0.3890 0.7780 0.0412
0.8739 0.7478 0.1882
0.1261 0.2522 0.6882
```

The symmetry is Cmc2_1 (36). As for the total magnetic moment: 0.00 Bohr magnetons per cell. Its crystal system is orthorhombic. The formation energy from raw total energies comes out at -3117 meV per atom. The value obtained for the theoretical density is 3.62 Mg/m³. The calculation puts the density of states at the Fermi level at 0.00 states/eV per atom.

# 4
CsSmO2: single point on PBEsol structure, meta-GGA SCAN.

Structure (POSCAR):
```
CsSmO2
1.0
3.5974 0.0000 0.0000
-1.7987 3.1155 0.0000
0.0000 0.0000 13.5606
Cs Sm O
2 2 4
Direct
0.6667 0.3333 0.2500
0.3333 0.6667 0.7500
0.0000 0.0000 0.0000
0.0000 0.0000 0.5000
0.6667 0.3333 0.9151
0.6667 0.3333 0.5849
0.3333 0.6667 0.4151
0.3333 0.6667 0.0849
```

The symmetry is P6_3/mmc (194). As for the total magnetic moment: 0.00 Bohr magnetons per cell. Its crystal system is hexagonal. The formation energy from raw total energies comes out at -2847 meV per atom. The value obtained for the theoretical density is 6.89 Mg/m³. The calculation puts the density of states at the Fermi level at 0.00 states/eV per atom.

# 5
CsSmW2O8: single point on PBEsol structure, meta-GGA SCAN.

Structure (POSCAR):
```
CsSmW2O8
1.0
7.5602 -0.0180 0.0232
3.4867 6.7470 0.0479
-3.4867 1.7190 6.5245
O Cs W Sm
16 2 4 2
Direct
0.1979 0.7883 0.0541
0.4717 0.5835 0.6292
0.0283 0.6292 0.5835
0.4375 0.2493 0.6216
0.0625 0.6216 0.2493
0.9375 0.3784 0.7507
0.5625 0.7507 0.3784
0.8667 0.0698 0.6146
0.3667 0.3854 0.9302
0.5283 0.4165 0.3708
0.9717 0.3708 0.4165
0.1333 0.9302 0.3854
0.6979 0.9459 0.2117
0.6333 0.6146 0.0698
0.8021 0.2117 0.9459
0.3021 0.0541 0.7883
0.7500 0.8017 0.8017
0.2500 0.1983 0.1983
0.2258 0.3118 0.6971
0.7258 0.3029 0.6882
0.7742 0.6882 0.3029
0.2742 0.6971 0.3118
0.2500 0.7723 0.7723
0.7500 0.2277 0.2277
```

The symmetry is C2/c (15). As for the total magnetic moment: 0.00 Bohr magnetons per cell. Its crystal system is monoclinic. The formation energy from raw total energies comes out at -2715 meV per atom. The value obtained for the theoretical density is 7.76 Mg/m³. The calculation puts the density of states at the Fermi level at 0.00 states/eV per atom.

# 6
Cs2SnO3: single point on PBEsol structure, meta-GGA SCAN.

Structure (POSCAR):
```
Cs2SnO3
1.0
-3.6390 1.7022 4.2265
-3.6593 -5.6433 -0.8778
2.2737 -5.0050 3.9734
O Cs Sn
6 4 2
Direct
0.2500 0.3383 0.6617
0.5000 0.8799 0.8799
0.7500 0.6617 0.3383
0.5000 0.1201 0.1201
0.0000 0.8799 0.8799
0.0000 0.1201 0.1201
0.7500 0.5164 0.8065
0.2500 0.8065 0.5164
0.2500 0.4836 0.1935
0.7500 0.1935 0.4836
0.2500 0.0841 0.9159
0.7500 0.9159 0.0841
```

The symmetry is Cmcm (63). As for the total magnetic moment: 0.16 Bohr magnetons per cell. Its crystal system is orthorhombic. The formation energy from raw total energies comes out at -1737 meV per atom. The value obtained for the theoretical density is 5.73 Mg/m³. The calculation puts the density of states at the Fermi level at 0.00 states/eV per atom.

# 7
Cs4SnO4: single point on PBEsol structure, meta-GGA SCAN.

Structure (POSCAR):
```
Cs4SnO4
1.0
-4.4590 5.7462 -0.2068
-1.6851 -0.8958 11.4420
9.0461 6.9330 -2.4089
O Cs Sn
16 16 4
Direct
0.4705 0.6430 0.3042
0.2367 0.0272 0.9213
0.5295 0.3570 0.6958
0.8296 0.5149 0.3623
0.9705 0.8570 0.6958
0.0295 0.1430 0.3042
0.5104 0.6620 0.7824
0.9896 0.1620 0.7824
0.6704 0.0149 0.3623
0.1704 0.4851 0.6377
0.7633 0.9728 0.0787
0.2633 0.5272 0.9213
0.4896 0.3380 0.2176
0.3296 0.9851 0.6377
0.0104 0.8380 0.2176
0.7367 0.4728 0.0787
0.6621 0.1091 0.6313
0.0857 0.7995 0.9396
0.3886 0.0857 0.1578
0.8886 0.4143 0.8422
0.9143 0.2005 0.0604
0.5857 0.7005 0.0604
0.1621 0.3909 0.3687
0.1788 0.2055 0.5740
0.3212 0.7055 0.5740
0.4143 0.2995 0.9396
0.8212 0.7945 0.4260
0.6114 0.9143 0.8422
0.6788 0.2945 0.4260
0.1114 0.5857 0.1578
0.8379 0.6091 0.6313
0.3379 0.8909 0.3687
0.8722 0.9924 0.2410
0.3722 0.5076 0.7590
0.6278 0.4924 0.2410
0.1278 0.0076 0.7590
```

The symmetry is P2_1/c (14). As for the total magnetic moment: 0.02 Bohr magnetons per cell. Its crystal system is monoclinic. The formation energy from raw total energies comes out at -1621 meV per atom. The value obtained for the theoretical density is 5.18 Mg/m³. The calculation puts the density of states at the Fermi level at 0.00 states/eV per atom.

# 8
Cs2Sn2O3: single point on PBEsol structure, meta-GGA SCAN.

Structure (POSCAR):
```
Cs2Sn2O3
1.0
-4.3576 -4.2441 -0.5612
1.5479 -0.4359 -8.7221
9.2897 -9.8209 2.1394
Sn Cs O
8 8 12
Direct
0.2500 0.7873 0.1342
0.7500 0.2127 0.8658
0.7500 0.9100 0.6988
0.7500 0.2873 0.3658
0.2500 0.4100 0.8012
0.2500 0.7127 0.6342
0.2500 0.0900 0.3012
0.7500 0.5900 0.1988
0.2500 0.5389 0.3684
0.2500 0.1573 0.5939
0.7500 0.4611 0.6316
0.7500 0.8427 0.4061
0.7500 0.0389 0.1316
0.2500 0.3427 0.0939
0.7500 0.6573 0.9061
0.2500 0.9611 0.8684
0.9971 0.7561 0.7300
0.2500 0.0166 0.1570
0.9971 0.7439 0.2300
0.4971 0.2439 0.2700
0.4971 0.2561 0.7700
0.2500 0.4834 0.6570
0.7500 0.9834 0.8430
0.7500 0.5166 0.3430
0.5029 0.7561 0.7300
0.5029 0.7439 0.2300
0.0029 0.2561 0.7700
0.0029 0.2439 0.2700
```

The symmetry is Pnma (62). As for the total magnetic moment: 0.00 Bohr magnetons per cell. Its crystal system is orthorhombic. The formation energy from raw total energies comes out at -1552 meV per atom. The value obtained for the theoretical density is 4.94 Mg/m³. The calculation puts the density of states at the Fermi level at 0.00 states/eV per atom.

# 9
CsSnO3: single point on PBEsol structure, meta-GGA SCAN.

Structure (POSCAR):
```
CsSnO3
1.0
-2.1345 -1.8464 3.1195
-0.5336 -3.4206 -2.3898
3.5855 -1.6082 1.5014
O Sn Cs
3 1 1
Direct
0.0000 0.0000 0.5000
0.5000 0.0000 0.0000
0.0000 0.5000 0.0000
0.0000 0.0000 0.0000
0.5000 0.5000 0.5000
```

The symmetry is Pm-3m (221). As for the total magnetic moment: 1.00 Bohr magnetons per cell. Its crystal system is cubic. The formation energy from raw total energies comes out at -1266 meV per atom. The value obtained for the theoretical density is 6.68 Mg/m³. The calculation puts the density of states at the Fermi level at 0.76 states/eV per atom.

# 10
CsSr3O: single point on PBEsol structure, meta-GGA SCAN.

Structure (POSCAR):
```
CsSr3O
1.0
5.6339 0.0000 0.0000
0.0000 5.6339 0.0000
0.0000 0.0000 5.6339
Sr Cs O
3 1 1
Direct
0.0000 0.0000 0.5000
0.5000 0.0000 0.0000
0.0000 0.5000 0.0000
0.5000 0.5000 0.5000
0.0000 0.0000 0.0000
```

The symmetry is Pm-3m (221). As for the total magnetic moment: 0.00 Bohr magnetons per cell. Its crystal system is cubic. The formation energy from raw total energies comes out at -631 meV per atom. The value obtained for the theoretical density is 3.82 Mg/m³. The calculation puts the density of states at the Fermi level at 0.88 states/eV per atom.

# 11
CsSrTeO2: single point on PBEsol structure, meta-GGA SCAN.

Structure (POSCAR):
```
CsSrTeO2
1.0
-0.0765 -4.9558 0.4977
4.4426 0.1572 2.2477
-2.8825 0.6123 5.6544
O Te Sr Cs
2 1 1 1
Direct
0.0000 0.5000 0.0000
0.5000 0.0000 0.0000
0.0000 0.0000 0.5000
0.0000 0.0000 0.0000
0.5000 0.5000 0.5000
```

The symmetry is P4/mmm (123). As for the total magnetic moment: 3.00 Bohr magnetons per cell. Its crystal system is tetragonal. The formation energy from raw total energies comes out at -888 meV per atom. The value obtained for the theoretical density is 3.99 Mg/m³. The calculation puts the density of states at the Fermi level at 0.74 states/eV per atom.

# 12
CsSrTlO2: single point on PBEsol structure, meta-GGA SCAN.

Structure (POSCAR):
```
CsSrTlO2
1.0
4.7273 0.0000 0.0000
0.0000 4.7273 0.0000
0.0000 0.0000 5.8365
O Sr Tl Cs
2 1 1 1
Direct
0.5000 0.0000 0.0000
0.0000 0.5000 0.0000
0.5000 0.5000 0.5000
0.0000 0.0000 0.0000
0.0000 0.0000 0.5000
```

The symmetry is P4/mmm (123). As for the total magnetic moment: 0.00 Bohr magnetons per cell. Its crystal system is tetragonal. The formation energy from raw total energies comes out at 154 meV per atom. The value obtained for the theoretical density is 5.82 Mg/m³. The calculation puts the density of states at the Fermi level at 0.35 states/eV per atom.